Density functional theory data (PBE) for an optimized crystal structure of CdSbN2F.

ΔE to the lowest computed polymorph = 0.508 eV/atom
Theoretical density = 4.76 g/cm³
Raw formation energy = 0.82 eV per atom
Spin magnetization = 0.78 Bohr magnetons per cell
SG = P4/mmm
DOS at the Fermi energy = 2.521 states/eV/f.u.

Lattice parameters (Å, degrees): 3.947 3.947 6.291 90.00 90.00 90.00
Fractional coordinates of all 5 atoms:
Cd 0.000 0.000 0.000
Sb 0.000 0.000 0.500
N 0.000 0.500 0.500
N 0.500 0.000 0.500
F 0.500 0.500 0.000